{
  "formula": "NbTe2N",
  "functional": "GGA-PBE",
  "state": "optimized geometry",
  "volume_a3_per_cell": 92.49,
  "formation_energy_uncorrected_ev_per_atom": 0.63,
  "final_energy_ev_per_atom": -5.5413,
  "lattice": [[-0.173, 0.254, 7.692], [-3.024, -2.089, 6.764], [0.548, -3.394, 6.888]],
  "species": ["N", "Nb", "Te", "Te"],
  "frac_coords": [[0.000, 0.000, 0.000], [0.500, 0.500, 0.500], [0.088, 0.088, 0.088], [0.912, 0.912, 0.912]]
}